1.
Tb3HoMg12 PBE optimized geometry; density = 3.8 Mg/m³; total energy = -2.411 eV/atom; space group = P4/mmm, No. 123; energy of formation = -0.974 eV/f.u.; magnetization = 0.0 Bohr magnetons per cell; calculated volume = 408.0 Å³ per cell
1.0
-1.040 2.570 3.712
0.223 -3.775 2.676
18.505 3.200 2.970
Tb Ho Mg
3 1 12
Direct
0.000 0.000 0.249
0.000 0.000 0.500
0.000 0.000 0.751
0.000 0.000 0.000
0.500 0.500 0.000
0.500 0.500 0.249
0.500 0.500 0.500
0.500 0.500 0.751
0.500 0.000 0.124
0.500 0.000 0.375
0.500 0.000 0.625
0.500 0.000 0.876
0.000 0.500 0.124
0.000 0.500 0.375
0.000 0.500 0.625
0.000 0.500 0.876


2.
Tb2Ho4Mg PBE optimized geometry; density = 7.8 Mg/m³; total energy = -4.063 eV/atom; space group = P2_1/m, No. 11; energy of formation = 0.727 eV/f.u.; magnetization = 0.0 Bohr magnetons per cell; calculated volume = 427.7 Å³ per cell
1.0
-2.287 3.875 -3.952
-5.274 0.690 3.729
5.993 6.374 7.296
Tb Ho Mg
4 8 2
Direct
0.606 0.750 0.004
0.394 0.250 0.996
0.280 0.250 0.423
0.720 0.750 0.577
0.644 0.499 0.287
0.028 0.750 0.875
0.972 0.250 0.125
0.644 0.001 0.287
0.853 0.250 0.559
0.356 0.999 0.713
0.356 0.501 0.713
0.147 0.750 0.441
0.156 0.750 0.166
0.844 0.250 0.834


3.
TbHo4Mg PBE optimized geometry; density = 7.8 Mg/m³; total energy = -4.063 eV/atom; space group = C2/c, No. 15; energy of formation = 0.159 eV/f.u.; magnetization = 0.0 Bohr magnetons per cell; calculated volume = 358.2 Å³ per cell
1.0
6.008 0.504 0.566
2.508 5.483 0.566
1.830 1.286 11.551
Tb Ho Mg
2 8 2
Direct
0.500 0.000 0.500
0.000 0.500 0.000
0.415 0.252 0.750
0.165 0.671 0.500
0.835 0.329 0.500
0.252 0.415 0.250
0.748 0.585 0.750
0.329 0.835 0.000
0.671 0.165 0.000
0.585 0.748 0.250
0.919 0.081 0.250
0.081 0.919 0.750


4.
Tb5Ho2Mg PBE optimized geometry; density = 7.8 Mg/m³; total energy = -4.220 eV/atom; space group = I4/mmm, No. 139; energy of formation = 0.140 eV/f.u.; magnetization = 0.0 Bohr magnetons per cell; calculated volume = 244.3 Å³ per cell
1.0
-2.257 5.286 -4.053
-2.851 -4.637 -4.453
-1.673 -0.174 6.804
Tb Ho Mg
5 2 1
Direct
0.722 0.222 0.944
0.222 0.222 0.944
0.722 0.722 0.944
0.222 0.722 0.944
0.722 0.722 0.444
0.222 0.722 0.444
0.722 0.222 0.444
0.222 0.222 0.445


5.
TbHo3Mg6 PBE optimized geometry; density = 5.1 Mg/m³; total energy = -2.855 eV/atom; space group = P2_1/m, No. 11; energy of formation = -0.621 eV/f.u.; magnetization = 0.0 Bohr magnetons per cell; calculated volume = 525.7 Å³ per cell
1.0
-1.550 -4.472 2.295
0.183 -4.269 -8.196
10.269 -1.332 4.341
Tb Ho Mg
2 6 12
Direct
0.250 0.949 0.601
0.750 0.051 0.399
0.250 0.544 0.397
0.750 0.456 0.603
0.250 0.351 0.797
0.750 0.649 0.203
0.250 0.749 0.004
0.750 0.251 0.996
0.250 0.443 0.101
0.750 0.557 0.899
0.250 0.146 0.195
0.750 0.854 0.805
0.250 0.659 0.706
0.750 0.341 0.294
0.250 0.245 0.492
0.750 0.755 0.508
0.250 0.855 0.300
0.750 0.145 0.700
0.250 0.047 0.900
0.750 0.953 0.100


6.
Tb2Ho3Mg8 PBE optimized geometry; density = 4.6 Mg/m³; total energy = -2.625 eV/atom; space group = R-3m, No. 166; energy of formation = 1.632 eV/f.u.; magnetization = 0.0 Bohr magnetons per cell; calculated volume = 363.7 Å³ per cell
1.0
5.837 0.000 0.000
2.918 5.055 0.000
2.918 1.685 12.326
Tb Ho Mg
2 3 8
Direct
0.640 0.640 0.081
0.360 0.360 0.919
0.000 0.000 0.000
0.816 0.816 0.551
0.184 0.184 0.449
0.725 0.725 0.824
0.275 0.275 0.176
0.229 0.730 0.312
0.730 0.229 0.312
0.730 0.730 0.312
0.270 0.771 0.688
0.771 0.270 0.688
0.270 0.270 0.688


7.
Tb2Ho9Mg PBE optimized geometry; density = 8.3 Mg/m³; total energy = -4.316 eV/atom; space group = P4/mmm, No. 123; energy of formation = 0.263 eV/f.u.; magnetization = 0.0 Bohr magnetons per cell; calculated volume = 367.0 Å³ per cell
1.0
-3.739 2.686 -1.839
-3.163 -2.334 3.021
2.322 10.397 10.465
Tb Ho Mg
2 9 1
Direct
0.000 0.000 0.332
0.000 0.000 0.668
0.500 0.500 0.000
0.500 0.500 0.329
0.500 0.500 0.671
0.500 0.000 0.164
0.500 0.000 0.500
0.500 0.000 0.836
0.000 0.500 0.164
0.000 0.500 0.500
0.000 0.500 0.836
0.000 0.000 0.000


8.
TbHoMg4 PBE optimized geometry; density = 4.5 Mg/m³; total energy = -2.666 eV/atom; space group = F-43m, No. 216; energy of formation = -0.408 eV/f.u.; magnetization = 0.0 Bohr magnetons per cell; calculated volume = 155.1 Å³ per cell
1.0
-3.915 -2.401 -3.908
1.490 -4.950 -3.105
-2.667 -5.261 1.252
Mg Tb Ho
4 1 1
Direct
0.625 0.625 0.125
0.625 0.125 0.625
0.625 0.625 0.625
0.125 0.625 0.625
0.250 0.250 0.250
0.000 0.000 0.000


9.
Tb4HoMg3 PBE optimized geometry; density = 6.4 Mg/m³; total energy = -3.502 eV/atom; space group = Pmmm, No. 47; energy of formation = -0.132 eV/f.u.; magnetization = 0.0 Bohr magnetons per cell; calculated volume = 228.2 Å³ per cell
1.0
3.791 0.000 0.000
0.000 5.458 0.000
0.000 0.000 11.027
Mg Tb Ho
3 4 1
Direct
0.500 0.000 0.251
0.500 0.500 0.500
0.500 0.000 0.749
0.000 0.000 0.500
0.000 0.500 0.739
0.000 0.000 0.000
0.000 0.500 0.261
0.500 0.500 0.000


10.
Tb2Ho3Mg3 PBE optimized geometry; density = 6.5 Mg/m³; total energy = -3.525 eV/atom; space group = Immm, No. 71; energy of formation = -0.423 eV/f.u.; magnetization = 0.0 Bohr magnetons per cell; calculated volume = 226.4 Å³ per cell
1.0
-3.148 2.030 0.229
-2.658 -3.811 -2.768
0.294 -4.234 10.832
Tb Ho Mg
2 3 3
Direct
0.735 0.235 0.469
0.265 0.765 0.531
0.625 0.625 0.250
0.375 0.375 0.750
0.500 0.000 0.000
0.116 0.116 0.232
0.000 0.500 0.000
0.884 0.884 0.768


11.
TbHoMg6 PBE optimized geometry; density = 3.9 Mg/m³; total energy = -2.418 eV/atom; space group = Amm2, No. 38; energy of formation = -0.565 eV/f.u.; magnetization = 0.0 Bohr magnetons per cell; calculated volume = 202.0 Å³ per cell
1.0
-4.445 2.275 0.961
0.384 -1.900 6.270
2.770 5.856 -1.051
Tb Ho Mg
1 1 6
Direct
0.000 0.118 0.882
0.500 0.382 0.618
0.000 0.068 0.368
0.000 0.632 0.932
0.000 0.581 0.419
0.500 0.433 0.133
0.500 0.867 0.567
0.500 0.918 0.082


12.
Tb3HoMg8 PBE optimized geometry; density = 4.5 Mg/m³; total energy = -2.672 eV/atom; space group = P3m1, No. 156; energy of formation = -0.845 eV/f.u.; magnetization = 0.0 Bohr magnetons per cell; calculated volume = 311.9 Å³ per cell
1.0
6.073 0.000 0.000
-3.036 5.259 0.000
0.000 0.000 9.764
Tb Ho Mg
3 1 8
Direct
0.667 0.333 0.437
0.667 0.333 0.065
0.000 0.000 0.935
0.000 0.000 0.564
0.333 0.667 0.500
0.333 0.667 0.000
0.504 0.008 0.750
0.504 0.496 0.750
0.992 0.496 0.750
0.163 0.325 0.250
0.163 0.837 0.250
0.675 0.837 0.250